1.
Here is an optimized crystal structure of Hf2SbC from Alexandria. Energies are from PBE-GGA.

Its uncorrected energy is -0.3245 hartree per atom. For the uncorrected formation energy, the calculation gives -516 meV per atom. The density of states at the Fermi level comes out at 0.3048 states/eV/atom. For the theoretical density, the calculation gives 10.9 g/cm3.

The space group is Pnma (No. 62) and the conventional cell measures 6.5100, 3.8762 and 11.8638 Å, with angles of 90.00, 90.00 and 90.00 degrees. The asymmetric unit holds Hf at (0.1723, 0.2500, 0.2460), Hf at (0.1800, 0.2500, 0.5254), Sb at (0.0901, 0.2500, 0.8714) and C at (0.0742, 0.7500, 0.6052).

***

2.
Here is an optimized crystal structure of Zn2Ni2Bi from Alexandria. Energies are from PBE-GGA.

The calculated formation energy is 0.050 eV/atom. Its uncorrected energy is -0.1304 hartree per atom. The density of states at the Fermi level comes out at 0.4962 states/eV/atom. The energy above the most stable polymorph in this dataset comes out at 0.10 eV per formula unit. For the theoretical density, the calculation gives 9.6 g/cm3.

The space group is P4/mbm (No. 127) and the conventional cell measures 7.0855, 7.0855 and 3.1384 Å, with angles of 90.00, 90.00 and 90.00 degrees. The asymmetric unit holds Zn at (0.1455, 0.3545, 0.0000), Ni at (0.1398, 0.6398, 0.5000) and Bi at (0.0000, 0.0000, 0.5000).